Density functional theory data (PBE-GGA) for a geometry-optimized Li5PuAu6 structure.

a = 14.400 Å, b = 6.638 Å, c = 4.627 Å
α = 90.00°, β = 107.51°, γ = 90.00°
Space group C2/m (No. 12)
Inequivalent atoms, fractional coordinates:
Li  0.000  0.000  0.000 [2 per cell]
Li  0.164  0.500  0.656 [4 per cell]
Li  0.172  0.000  0.669 [4 per cell]
Pu  0.000  0.500  0.000 [2 per cell]
Au  0.000  0.217  0.500 [4 per cell]
Au  0.175  0.232  0.172 [8 per cell]

Output
size of the total moment = 11.48 Bohr magnetons per cell
density of states at the Fermi level = 32.6 states/eV per cell
energy relative to the elements = -552 kJ/mol of formula units

=====

Density functional theory data (PBE-GGA) for a geometry-optimized La5HoPb5 structure.

a = 17.559 Å, b = 6.211 Å, c = 7.422 Å
α = 90.00°, β = 106.44°, γ = 90.00°
Space group C2/m (No. 12)
Inequivalent atoms, fractional coordinates:
La  0.000  0.000  0.000 [2 per cell]
La  0.161  0.500  0.271 [4 per cell]
La  0.180  0.500  0.772 [4 per cell]
Ho  0.000  0.000  0.500 [2 per cell]
Pb  0.000  0.500  0.500 [2 per cell]
Pb  0.160  0.000  0.883 [4 per cell]
Pb  0.163  0.000  0.415 [4 per cell]

Output
size of the total moment = 0.00 Bohr magnetons per cell
density of states at the Fermi level = 17.5 states/eV per cell
energy relative to the elements = -414 kJ/mol of formula units

=====

Density functional theory data (PBE-GGA) for a geometry-optimized KCuSe2 structure.

a = 3.055 Å, b = 4.192 Å, c = 8.333 Å
α = 90.00°, β = 90.47°, γ = 90.00°
Space group Pm (No. 6)
Inequivalent atoms, fractional coordinates:
K  0.000  0.000  0.000 [1 per cell]
Cu  0.487  0.500  0.510 [1 per cell]
Se  0.487  0.000  0.646 [1 per cell]
Se  0.505  0.500  0.231 [1 per cell]

Output
size of the total moment = 0.00 Bohr magnetons per cell
density of states at the Fermi level = 3.6 states/eV per cell
raw formation energy = -1.285 eV per formula unit

=====

Density functional theory data (PBE-GGA) for a geometry-optimized AgMo2As structure.

a = 3.291 Å, b = 4.610 Å, c = 8.697 Å
α = 90.00°, β = 90.00°, γ = 90.00°
Space group Cmmm (No. 65)
Inequivalent atoms, fractional coordinates:
Ag  0.000  0.000  0.000 [2 per cell]
Mo  0.000  0.500  0.273 [4 per cell]
As  0.000  0.000  0.500 [2 per cell]

Output
size of the total moment = 0.00 Bohr magnetons per cell
density of states at the Fermi level = 5.7 states/eV per cell
energy relative to the elements = 183 kJ/mol of formula units

=====

> Which value of density of states at the Fermi level does entry 4 give?

5.7 states/eV per cell

=====

> Which of these has the highest density of states at the Fermi level?

Li5PuAu6

=====

> What is the density of states at the Fermi level in the second record?

17.5 states/eV per cell

=====

> What is the density of states at the Fermi level in the first record?

32.6 states/eV per cell